(1)
# SrGd2Zn

Crystalline SrGd2Zn at its relaxed geometry (PBE, Alexandria via LeMat-Bulk).

Unit cell a=3.702 b=3.702 c=9.492 alpha=90.00 beta=90.00 gamma=90.00
Space group P4/mmm (No. 123)
Unique sites:
Sr  0.000  0.000  0.000 x1
Gd  0.500  0.500  0.326 x2
Zn  0.000  0.000  0.500 x1

For the total magnetization, the calculation gives 15.24 μB/cell. For the formation energy, the calculation gives -0.0868 eV per atom. The total energy comes out at -7.8662 eV per atom.

***

(2)
# Li3In2SnI8

Crystalline Li3In2SnI8 at its relaxed geometry (PBE, Alexandria via LeMat-Bulk).

Unit cell a=9.0434 b=9.0434 c=23.5973 alpha=90.00 beta=90.00 gamma=120.00
Space group R3m (No. 160, hexagonal axes)
Unique sites:
Li  0.0050  0.5025  0.0000 x9
In  0.0000  0.0000  0.4998 x3
In  0.0000  0.0000  0.8720 x3
Sn  0.0000  0.0000  0.1321 x3
I  0.0000  0.0000  0.2768 x3
I  0.0000  0.0000  0.7374 x3
I  0.0102  0.5051  0.2629 x9
I  0.1670  0.3341  0.0714 x9

For the total magnetization, the calculation gives 0.00 μB/cell. The total energy comes out at -2.6766 eV per atom. The calculation puts the formation energy (no corrections) at -0.70 eV per atom.

***

(3)
# Cu2SnHPd

Crystalline Cu2SnHPd at its relaxed geometry (PBE, Alexandria via LeMat-Bulk).

Unit cell a=4.018 b=4.018 c=3.953 alpha=90.00 beta=90.00 gamma=90.00
Space group P4/mmm (No. 123)
Unique sites:
Cu  0.000  0.500  0.000 x2
Sn  0.000  0.000  0.500 x1
H  0.500  0.500  0.000 x1
Pd  0.500  0.500  0.500 x1

For the total magnetization, the calculation gives 0.00 μB/cell. The total energy comes out at -4.1887 eV per atom.

***

(4)
# Tm2SiTe

Crystalline Tm2SiTe at its relaxed geometry (PBE, Alexandria via LeMat-Bulk).

Unit cell a=4.1703 b=4.1703 c=21.0088 alpha=90.00 beta=90.00 gamma=120.00
Space group R-3m (No. 166, hexagonal axes)
Unique sites:
Tm  0.0000  0.0000  0.2388 x6
Si  0.0000  0.0000  0.5000 x3
Te  0.0000  0.0000  0.0000 x3

For the total magnetization, the calculation gives 0.00 μB/cell. The total energy comes out at -5.4262 eV per atom. The calculation puts the formation energy (no corrections) at -1.05 eV per atom.